Entry from Alexandria via LeMat-Bulk: AlC at its PBEsol-relaxed geometry (meta-GGA SCAN).

As for the formation energy: 0.4123 eV per atom. The value obtained for the final energy is -8.51 eV/atom. Its magnetization is 0.004 μB/cell.

The structure belongs to space group Fm-3m (No. 225); the cell edges are 4.2457, 4.2457 and 4.2457 Å and the angles 90.00°, 90.00° and 90.00°. The distinct sites, in fractional coordinates, are Al at (0.0000, 0.0000, 0.0000) and C at (0.0000, 0.0000, 0.5000).